Density functional theory data (GGA-PBE) for crystalline Tb2TmAl7Ag2 at its relaxed geometry.

Cell: 9.3321 9.3321 9.3321 Å, 34.54 34.54 34.54°
Last column: nearest neighbours and their distance in Å.
Element x y z (fractional)
Al 0.0758 0.5874 0.5874  2 Ag 2.69-2.75, 5 Al 2.71-2.83
Al 0.4126 0.9242 0.4126  2 Ag 2.69-2.75, 5 Al 2.71-2.83
Al 0.5874 0.5874 0.0758  2 Ag 2.69-2.75, 5 Al 2.71-2.83
Al 0.5000 0.5000 0.5000  6 Al 2.73
Al 0.4126 0.4126 0.9242  2 Ag 2.69-2.75, 5 Al 2.71-2.83
Al 0.5874 0.0758 0.5874  2 Ag 2.69-2.75, 5 Al 2.71-2.83
Al 0.9242 0.4126 0.4126  2 Ag 2.69-2.75, 5 Al 2.71-2.83
Tb 0.1421 0.1421 0.1421  12 Al 3.17-3.26, 3 Tb 3.45
Tb 0.8579 0.8579 0.8579  12 Al 3.17-3.26, 3 Tb 3.45
Ag 0.3358 0.3358 0.3358  6 Al 2.69-2.75
Ag 0.6642 0.6642 0.6642  6 Al 2.69-2.75
Tm 0.0000 0.0000 0.0000  6 Ag 3.20, 12 Al 3.54

Computed properties:
space-group type	R-3m, No. 166

***

Density functional theory data (GGA-PBE) for crystalline Tb2YAl7Ag2 at its relaxed geometry.

Cell: 9.3529 9.3529 9.3529 Å, 34.56 34.56 34.56°
Last column: nearest neighbours and their distance in Å.
Element x y z (fractional)
Ag 0.6642 0.6642 0.6642  6 Al 2.70-2.76
Ag 0.3358 0.3358 0.3358  6 Al 2.70-2.76
Al 0.5877 0.5877 0.0757  2 Ag 2.70-2.76, 5 Al 2.71-2.84
Al 0.0757 0.5877 0.5877  2 Ag 2.70-2.76, 5 Al 2.71-2.84
Al 0.5000 0.5000 0.5000  6 Al 2.74
Al 0.4123 0.4123 0.9243  2 Ag 2.70-2.76, 5 Al 2.71-2.84
Al 0.5877 0.0757 0.5877  2 Ag 2.70-2.76, 5 Al 2.71-2.84
Al 0.4123 0.9243 0.4123  2 Ag 2.70-2.76, 5 Al 2.71-2.84
Al 0.9243 0.4123 0.4123  2 Ag 2.70-2.76, 5 Al 2.71-2.84
Y 0.0000 0.0000 0.0000  6 Ag 3.21, 12 Al 3.55
Tb 0.1422 0.1422 0.1422  12 Al 3.18-3.27, 3 Tb 3.46
Tb 0.8578 0.8578 0.8578  12 Al 3.18-3.27, 3 Tb 3.46

Computed properties:
space-group type	R-3m, No. 166

***

Density functional theory data (GGA-PBE) for crystalline Al2TcAg at its relaxed geometry.

Cell: 4.4395 4.4395 4.4395 Å, 60.00 60.00 60.00°
Last column: nearest neighbours and their distance in Å.
Element x y z (fractional)
Ag 0.5000 0.5000 0.5000  4 Tc 2.72, 4 Al 2.72
Al 0.7500 0.7500 0.7500  4 Ag 2.72, 4 Al 2.72
Al 0.0000 0.0000 0.0000  4 Al 2.72, 4 Tc 2.72
Tc 0.2500 0.2500 0.2500  4 Ag 2.72, 4 Al 2.72

Computed properties:
space-group type	F-43m, No. 216

***

What are the calculated total energy values for these records? In order: -4.238, -4.426, -5.011 eV per atom.